# CaSc2Sn2, relaxed, DFT PBE
data_CaSc2Sn2
_chemical_formula_sum 'Ca2 Sc4 Sn4'
_symmetry_space_group_name_H-M 'I 4/m m m'
_symmetry_Int_Tables_number 139
_symmetry_space_group_name_Hall '-I 4 2'
_cell_length_a 5.478
_cell_length_b 5.478
_cell_length_c 10.045
_cell_angle_alpha 90.00
_cell_angle_beta 90.00
_cell_angle_gamma 90.00
loop_
_atom_site_label
_atom_site_fract_x
_atom_site_fract_y
_atom_site_fract_z
_atom_site_occupancy
Ca1 0.000 0.000 0.000 1
Sc1 0.000 0.000 0.334 1
Sn1 0.000 0.500 0.250 1
# Excess energy over the best structure of this formula in the dataset (meV per atom): 324
# DFT formation energy (eV/atom): -0.2158
# Spin magnetization (μB/cell): 1.8
# Calculated total energy (eV per atom): -4.750